The following is a PBE-GGA calculation of a relaxed structure of NaCdIn3, from Alexandria via LeMat-Bulk.

abc: 4.7828 5.8705 10.1707
angles: 88.29 88.97 65.39
Fractional coordinates of all 10 atoms:
Na 0.0462 0.9068 0.8431
Na 0.9538 0.0932 0.1569
In 0.7456 0.5092 0.7473
In 0.8525 0.2988 0.4551
In 0.1475 0.7012 0.5449
In 0.6531 0.6968 0.0546
In 0.3469 0.3032 0.9454
In 0.2544 0.4908 0.2527
Cd 0.4510 0.0992 0.6455
Cd 0.5490 0.9008 0.3545

## Properties
Its symmetry is P-1, No. 2. The calculated formation energy is -47.7 meV/atom. The volume comes out at 130 Å³/f.u. As for the total magnetic moment: 0.00 μB per atom.